[1]
The following is a PBE calculation of Pr6Y16Tm7 after structural relaxation, from Alexandria.

The total energy is -626.42 eV for the cell shown. As for the density of states at the Fermi level: 1.8325 states/eV per atom.

It has space group Fm-3m (No. 225), with a = 15.881 Å, b = 15.881 Å, c = 15.881 Å, α = 90.00°, β = 90.00° and γ = 90.00°. The inequivalent atoms are Pr at (0.000, 0.000, 0.215), Y at (0.121, 0.121, 0.379), Y at (0.155, 0.155, 0.155), Tm at (0.000, 0.000, 0.500) and Tm at (0.000, 0.250, 0.250).

***

[2]
The following is a PBE calculation of Pr7Y12Tm after structural relaxation, from Alexandria.

The total energy is -332.95 eV for the cell shown. As for the density of states at the Fermi level: 1.8751 states/eV per atom.

It has space group R-3 (No. 148, hexagonal axes), with a = 12.0845 Å, b = 12.0845 Å, c = 16.4603 Å, α = 90.00°, β = 90.00° and γ = 120.00°. The inequivalent atoms are Pr at (0.0000, 0.0000, 0.0000), Pr at (0.0569, 0.8707, 0.2885), Y at (0.0293, 0.5786, 0.2216), Y at (0.0545, 0.4692, 0.5831) and Tm at (0.0000, 0.0000, 0.5000).

***

[3]
The following is a PBE calculation of PrYTm2 after structural relaxation, from Alexandria.

The total energy is -60.22 eV for the cell shown. As for the density of states at the Fermi level: 1.4164 states/eV per atom.

It has space group R3m (No. 160, hexagonal axes), with a = 3.5876 Å, b = 3.5876 Å, c = 34.6237 Å, α = 90.00°, β = 90.00° and γ = 120.00°. The inequivalent atoms are Pr at (0.0000, 0.0000, 0.0000), Y at (0.0000, 0.0000, 0.8345), Tm at (0.0000, 0.0000, 0.2492) and Tm at (0.0000, 0.0000, 0.4190).

***

[4]
The following is a PBE calculation of Pr3YTm6 after structural relaxation, from Alexandria.

The total energy is -90.79 eV for the cell shown. As for the density of states at the Fermi level: 1.7280 states/eV per atom.

It has space group C2/m (No. 12), with a = 11.519 Å, b = 6.543 Å, c = 9.714 Å, α = 90.00°, β = 115.07° and γ = 90.00°. The inequivalent atoms are Pr at (0.000, 0.000, 0.000), Pr at (0.073, 0.000, 0.701), Y at (0.000, 0.500, 0.500), Tm at (0.135, 0.500, 0.922) and Tm at (0.185, 0.254, 0.313).

***

[5]
The following is a PBE calculation of Pr5Y3Tm after structural relaxation, from Alexandria.

The total energy is -173.67 eV for the cell shown. As for the density of states at the Fermi level: 1.6351 states/eV per atom.

It has space group C2/m (No. 12), with a = 15.411 Å, b = 11.823 Å, c = 9.959 Å, α = 90.00°, β = 129.48° and γ = 90.00°. The inequivalent atoms are Pr at (0.000, 0.248, 0.000), Pr at (0.149, 0.247, 0.737), Pr at (0.225, 0.500, 0.048), Pr at (0.229, 0.000, 0.238), Y at (0.000, 0.000, 0.500), Y at (0.000, 0.500, 0.000), Y at (0.007, 0.000, 0.825), Y at (0.014, 0.500, 0.352) and Tm at (0.249, 0.000, 0.593).

***

[6]
The following is a PBE calculation of Pr2Y5Tm after structural relaxation, from Alexandria.

The total energy is -92.32 eV for the cell shown. As for the density of states at the Fermi level: 1.5619 states/eV per atom.

It has space group Pbam (No. 55), with a = 7.195 Å, b = 14.390 Å, c = 5.080 Å, α = 90.00°, β = 90.00° and γ = 90.00°. The inequivalent atoms are Pr at (0.248, 0.124, 0.000), Y at (0.000, 0.500, 0.500), Y at (0.002, 0.751, 0.500), Y at (0.249, 0.375, 0.000) and Tm at (0.000, 0.000, 0.500).

***

[7]
The following is a PBE calculation of Pr2Y3Tm5 after structural relaxation, from Alexandria.

The total energy is -197.38 eV for the cell shown. As for the density of states at the Fermi level: 1.7203 states/eV per atom.

It has space group C2/c (No. 15), with a = 10.564 Å, b = 15.830 Å, c = 9.418 Å, α = 90.00°, β = 123.89° and γ = 90.00°. The inequivalent atoms are Pr at (0.145, 0.129, 0.048), Y at (0.000, 0.019, 0.250), Y at (0.154, 0.376, 0.550), Tm at (0.000, 0.229, 0.250), Tm at (0.000, 0.274, 0.750), Tm at (0.000, 0.475, 0.750) and Tm at (0.236, 0.375, 0.229).

***

[8]
The following is a PBE calculation of Pr2Y3Tm after structural relaxation, from Alexandria.

The total energy is -66.88 eV for the cell shown. As for the density of states at the Fermi level: 1.2707 states/eV per atom.

It has space group P6_3/mcm (No. 193), with a = 6.2584 Å, b = 6.2584 Å, c = 11.6631 Å, α = 90.00°, β = 90.00° and γ = 120.00°. The inequivalent atoms are Pr at (0.3333, 0.6667, 0.0000), Y at (0.0000, 0.3307, 0.2500) and Tm at (0.0000, 0.0000, 0.0000).